A relaxed Ba4CaTl crystal, computed with PBE-GGA.

Output
Offset from the most stable computed form = 36.3 kJ per mole of atoms
DOS(E_F) = 1.66 states/eV/atom
Energy relative to the elements = 0.249 eV/atom
Total magnetic moment = 0.01 μB/cell

a b c (Å): 10.797 10.797 10.797
angles (deg): 90.00 90.00 90.00
Space group F-43m (No. 216)
Symmetry-distinct sites (fractional):
Ba (0.124, 0.124, 0.376) [16 per cell]
Ca (0.000, 0.000, 0.000) [4 per cell]
Tl (0.250, 0.250, 0.750) [4 per cell]

=====

A relaxed RbPPd2 crystal, computed with PBE-GGA.

Output
DOS(E_F) = 0.33 states/eV/atom
Energy relative to the elements = -0.323 eV/atom
Total magnetic moment = 0.00 μB/cell

a b c (Å): 5.523 5.523 14.669
angles (deg): 90.00 90.00 90.00
Space group I4_1/amd (No. 141, origin choice 2)
Symmetry-distinct sites (fractional):
Rb (0.000, 0.250, 0.375) [4 per cell]
P (0.000, 0.250, 0.875) [4 per cell]
Pd (0.000, 0.000, 0.000) [8 per cell]

=====

A relaxed BaPr2Tl crystal, computed with PBE-GGA.

Output
Offset from the most stable computed form = 10.5 kJ per mole of atoms
DOS(E_F) = 1.52 states/eV/atom
Energy relative to the elements = 0.035 eV/atom
Total magnetic moment = 0.01 μB/cell

a b c (Å): 5.3962 5.3962 18.6266
angles (deg): 90.00 90.00 120.00
Space group R-3m (No. 166, hexagonal axes)
Symmetry-distinct sites (fractional):
Ba (0.0000, 0.0000, 0.0000) [3 per cell]
Pr (0.0000, 0.0000, 0.2228) [6 per cell]
Tl (0.0000, 0.0000, 0.5000) [3 per cell]

=====

A relaxed LaCdInPd3 crystal, computed with PBE-GGA.

Output
DOS(E_F) = 0.35 states/eV/atom
Energy relative to the elements = -0.459 eV/atom
Total magnetic moment = 0.00 μB/cell

a b c (Å): 5.919 13.129 6.822
angles (deg): 90.00 90.00 90.00
Space group Cmcm (No. 63)
Symmetry-distinct sites (fractional):
La (0.000, 0.156, 0.250) [4 per cell]
Cd (0.000, 0.395, 0.250) [4 per cell]
In (0.000, 0.139, 0.750) [4 per cell]
Pd (0.000, 0.350, 0.750) [4 per cell]
Pd (0.238, 0.000, 0.000) [8 per cell]